Record 1
A geometry-optimized TbPaAsP structure, computed with PBE.

```
TbPaAsP
1.0
4.001 0.000 0.000
-2.000 3.465 0.000
-2.000 -1.155 6.890
Tb Pa As P
1 1 1 1
direct
0.953 0.375 0.343
0.318 0.557 0.890
0.476 0.136 0.627
0.131 0.963 0.110
```

Calculated values
total energy: -7.31 eV per atom
calculated formation energy: -1.26 eV per atom

Record 2
A geometry-optimized Pa6TeAs2P3 structure, computed with PBE.

```
Pa6TeAs2P3
1.0
4.024 0.000 0.000
0.000 8.239 0.218
-2.012 -2.454 8.572
Pa Te As P
6 1 2 3
direct
0.324 0.922 0.647
0.663 0.590 0.327
0.676 0.078 0.353
0.998 0.276 0.995
0.002 0.724 0.005
0.337 0.410 0.673
0.500 0.000 0.000
0.833 0.667 0.665
0.167 0.333 0.335
0.500 0.500 0.000
0.836 0.169 0.673
0.164 0.831 0.327
```

Calculated values
formation energy from raw total energies: -13.4 eV/f.u.
total energy: -8.26 eV per atom